*a*
An optimized crystal structure of BeSiAg2. Source: Alexandria via LeMat-Bulk, functional PBE.

Summary:
Crystal system = tetragonal
M_tot = 0.00 μB per formula unit

Cell lengths 3.913, 3.913, 9.056 Å; angles 77.52, 77.52, 90.00 degrees
Atoms (fractional coordinates):
Ag (0.375, 0.379, 0.750)
Ag (0.621, 0.125, 0.250)
Be (0.250, 0.750, 0.500)
Si (0.750, 0.250, 0.500)
Be (0.500, 0.500, 0.000)
Ag (0.129, 0.625, 0.250)
Si (0.000, 0.000, 0.000)
Ag (0.875, 0.871, 0.750)

---

*b*
An optimized crystal structure of BeSiAg2. Source: Alexandria via LeMat-Bulk, functional PBE.

Summary:
Crystal system = orthorhombic
M_tot = 0.00 μB per formula unit

Cell lengths 4.666, 4.666, 2.920 Å; angles 90.00, 90.00, 107.76 degrees
Atoms (fractional coordinates):
Ag (0.500, 0.500, 0.000)
Be (0.500, 0.000, 0.500)
Ag (0.000, 0.000, 0.000)
Si (0.000, 0.500, 0.500)

---

*c*
An optimized crystal structure of BeSiAg2. Source: Alexandria via LeMat-Bulk, functional PBE.

Summary:
Crystal system = tetragonal
M_tot = 0.00 μB per formula unit

Cell lengths 4.876, 4.876, 4.876 Å; angles 133.55, 133.55, 67.79 degrees
Atoms (fractional coordinates):
Si (0.750, 0.250, 0.500)
Be (0.500, 0.500, 0.000)
Ag (0.250, 0.750, 0.500)
Ag (0.000, 0.000, 0.000)

---

*d*
An optimized crystal structure of BeSiAg2. Source: Alexandria via LeMat-Bulk, functional PBE.

Summary:
Crystal system = tetragonal
M_tot = 0.00 μB per formula unit

Cell lengths 2.747, 2.747, 8.075 Å; angles 90.00, 90.00, 90.09 degrees
Atoms (fractional coordinates):
Si (0.500, 0.500, 0.750)
Be (0.500, 0.500, 0.250)
Ag (0.000, 0.000, 0.458)
Ag (0.000, 0.000, 0.042)

---

Of them, *d* has the highest stability.

---

*a*
An optimized crystal structure of BeSiAg2. Source: Alexandria via LeMat-Bulk, functional PBE.

Summary:
Crystal system = tetragonal
M_tot = 0.00 μB per formula unit

Cell lengths 2.844, 2.844, 7.307 Å; angles 90.00, 90.00, 90.02 degrees
Atoms (fractional coordinates):
Si (0.500, 0.500, 0.702)
Ag (0.000, 0.000, 0.988)
Be (0.000, 0.000, 0.517)
Ag (0.500, 0.500, 0.293)

---

*b*
An optimized crystal structure of BeSiAg2. Source: Alexandria via LeMat-Bulk, functional PBE.

Summary:
Crystal system = cubic
M_tot = 0.00 μB per formula unit

Cell lengths 4.399, 4.399, 4.399 Å; angles 60.00, 60.00, 60.00 degrees
Atoms (fractional coordinates):
Be (0.000, 0.000, 0.000)
Ag (0.750, 0.750, 0.750)
Si (0.500, 0.500, 0.500)
Ag (0.250, 0.250, 0.250)

---

*c*
An optimized crystal structure of BeSiAg2. Source: Alexandria via LeMat-Bulk, functional PBE.

Summary:
Crystal system = trigonal
M_tot = 0.00 μB per formula unit

Cell lengths 8.714, 8.714, 8.714 Å; angles 18.78, 18.78, 18.78 degrees
Atoms (fractional coordinates):
Ag (0.992, 0.992, 0.992)
Be (0.250, 0.250, 0.250)
Ag (0.508, 0.508, 0.508)
Si (0.750, 0.750, 0.750)

---

*d*
An optimized crystal structure of BeSiAg2. Source: Alexandria via LeMat-Bulk, functional PBE.

Summary:
Crystal system = orthorhombic
M_tot = 0.00 μB per formula unit

Cell lengths 2.861, 3.757, 5.581 Å; angles 90.00, 90.00, 90.00 degrees
Atoms (fractional coordinates):
Be (0.500, 0.500, 0.250)
Ag (0.000, 0.000, 0.010)
Ag (0.000, 0.000, 0.490)
Si (0.500, 0.500, 0.750)

---

Of them, *a* has the highest stability.

---

*a*
An optimized crystal structure of BeSiAg2. Source: Alexandria via LeMat-Bulk, functional PBE.

Summary:
Crystal system = tetragonal
M_tot = 0.00 μB per formula unit

Cell lengths 4.738, 4.738, 4.738 Å; angles 130.52, 130.52, 72.57 degrees
Atoms (fractional coordinates):
Ag (0.500, 0.500, 0.000)
Si (0.750, 0.250, 0.500)
Ag (0.000, 0.000, 0.000)
Be (0.250, 0.750, 0.500)

---

*b*
An optimized crystal structure of BeSiAg2. Source: Alexandria via LeMat-Bulk, functional PBE.

Summary:
Crystal system = orthorhombic
M_tot = 0.00 μB per formula unit

Cell lengths 3.939, 3.952, 3.849 Å; angles 90.00, 90.00, 90.00 degrees
Atoms (fractional coordinates):
Be (0.500, 0.000, 0.500)
Ag (0.000, 0.000, 0.000)
Si (0.000, 0.500, 0.500)
Ag (0.500, 0.500, 0.000)

---

*c*
An optimized crystal structure of BeSiAg2. Source: Alexandria via LeMat-Bulk, functional PBE.

Summary:
Crystal system = orthorhombic
M_tot = 0.00 μB per formula unit

Cell lengths 5.281, 5.281, 5.281 Å; angles 148.95, 125.71, 63.87 degrees
Atoms (fractional coordinates):
Ag (0.972, 0.972, 0.000)
Ag (0.528, 0.528, 0.000)
Si (0.250, 0.750, 0.500)
Be (0.750, 0.250, 0.500)

---

*d*
An optimized crystal structure of BeSiAg2. Source: Alexandria via LeMat-Bulk, functional PBE.

Summary:
Crystal system = monoclinic
M_tot = 0.00 μB per formula unit

Cell lengths 3.927, 3.013, 5.236 Å; angles 77.85, 90.00, 90.00 degrees
Atoms (fractional coordinates):
Si (0.500, 0.566, 0.733)
Ag (0.500, 0.297, 0.287)
Be (0.000, 0.718, 0.500)
Ag (0.000, 0.919, 0.980)

---

Of them, *d* has the highest stability.

---

*a*
An optimized crystal structure of BeSiAg2. Source: Alexandria via LeMat-Bulk, functional PBE.

Summary:
Crystal system = orthorhombic
M_tot = 0.00 μB per formula unit

Cell lengths 5.866, 5.866, 5.866 Å; angles 152.91, 137.40, 51.22 degrees
Atoms (fractional coordinates):
Si (0.314, 0.814, 0.500)
Ag (0.988, 0.988, 0.000)
Be (0.498, 0.498, 0.000)
Ag (0.700, 0.200, 0.500)

---

*b*
An optimized crystal structure of BeSiAg2. Source: Alexandria via LeMat-Bulk, functional PBE.

Summary:
Crystal system = trigonal
M_tot = 0.00 μB per formula unit

Cell lengths 8.520, 8.520, 8.520 Å; angles 19.41, 19.41, 19.41 degrees
Atoms (fractional coordinates):
Ag (0.004, 0.004, 0.004)
Ag (0.239, 0.239, 0.239)
Si (0.759, 0.759, 0.759)
Be (0.498, 0.498, 0.498)

---

Of them, *b* has the highest stability.